Compound: SrZrCl2
Source: the Alexandria database
Functional: meta-GGA SCAN
Structure: PBEsol geometry

Unit cell a=3.352 b=3.424 c=9.591 alpha=100.28 beta=100.06 gamma=90.00
Site moments in Bohr magnetons follow the coordinates.
Fractional positions:
Cl: 0.721 0.221 0.442  -0.01
Cl: 0.039 0.039 0.077  0.00
Zr: 0.287 0.787 0.574  0.37
Sr: 0.454 0.454 0.907  0.04

Its calculated density is 3.89 g/cm³. The calculation puts the raw formation energy at -1.215 eV per atom. The excess energy over the best structure of this formula in the dataset comes out at 0.116 eV per atom. As for the space group: Imm2. The density of states at the Fermi level comes out at 2.4 states/eV per cell. The total moment comes out at 0.71 μB per cell.



Compound: TaMo2Pb2
Source: the Alexandria database
Functional: meta-GGA SCAN
Structure: PBEsol geometry

Unit cell a=3.554 b=3.554 c=8.589 alpha=101.94 beta=101.94 gamma=90.00
Site moments in Bohr magnetons follow the coordinates.
Fractional positions:
Mo: 0.250 0.750 0.500  0.03
Mo: 0.750 0.250 0.500  0.03
Pb: 0.604 0.604 0.208  0.01
Pb: 0.396 0.396 0.792  0.01
Ta: 0.000 0.000 0.000  0.73

The formation energy from the elements comes out at 481 kJ/mol of formula units. Its calculated density is 12.60 g/cm³. As for the space group: I4/mmm. The density of states at the Fermi level comes out at 3.6 states/eV per cell. The total moment comes out at 1.14 μB per cell.



Compound: Cs3NiB
Source: the Alexandria database
Functional: meta-GGA SCAN
Structure: PBEsol geometry

Unit cell a=6.097 b=6.097 c=6.097 alpha=90.00 beta=90.00 gamma=90.00
Site moments in Bohr magnetons follow the coordinates.
Fractional positions:
B: 0.000 0.000 0.000  0.12
Cs: 0.000 0.500 0.000  0.01
Cs: 0.500 0.000 0.000  0.01
Cs: 0.000 0.000 0.500  0.01
Ni: 0.500 0.500 0.500  0.82

The formation energy from the elements comes out at 643 kJ/mol of formula units. Its calculated density is 3.43 g/cm³. As for the space group: Pm-3m. The density of states at the Fermi level comes out at 13.7 states/eV per cell. The total moment comes out at 1.10 μB per cell.



Compound: Tc7Ir
Source: the Alexandria database
Functional: meta-GGA SCAN
Structure: PBEsol geometry

Unit cell a=5.409 b=5.409 c=5.409 alpha=60.00 beta=60.00 gamma=60.00
Fractional positions:
Tc: 0.000 0.000 0.500
Tc: 0.500 0.000 0.000
Tc: 0.500 0.000 0.500
Tc: 0.500 0.500 0.500
Tc: 0.000 0.500 0.000
Tc: 0.500 0.500 0.000
Tc: 0.000 0.500 0.500
Ir: 0.000 0.000 0.000

The formation energy from the elements comes out at -38 kJ/mol of formula units. Its calculated density is 13.03 g/cm³. As for the space group: Fm-3m. The density of states at the Fermi level comes out at 7.1 states/eV per cell. The total moment comes out at 0.00 μB per cell.



Compound: Rb3GaC
Source: the Alexandria database
Functional: meta-GGA SCAN
Structure: PBEsol geometry

Unit cell a=5.958 b=5.958 c=5.958 alpha=90.00 beta=90.00 gamma=90.00
Site moments in Bohr magnetons follow the coordinates.
Fractional positions:
Rb: 0.000 0.500 0.000  0.03
Rb: 0.000 0.000 0.500  0.03
Rb: 0.500 0.000 0.000  0.03
Ga: 0.500 0.500 0.500  -0.04
C: 0.000 0.000 0.000  1.15

The formation energy from the elements comes out at 471 kJ/mol of formula units. Its calculated density is 2.66 g/cm³. As for the space group: Pm-3m. The density of states at the Fermi level comes out at 3.6 states/eV per cell. The total moment comes out at 2.43 μB per cell.



Compound: CuSiH8O4F6
Source: the Alexandria database
Functional: meta-GGA SCAN
Structure: PBEsol geometry

Unit cell a=6.127 b=6.701 c=9.132 alpha=90.00 beta=90.00 gamma=109.53
Site moments in Bohr magnetons follow the coordinates.
Fractional positions:
H: 0.208 0.759 0.902  0.00
H: 0.937 0.689 0.849  0.00
H: 0.292 0.241 0.402  0.00
H: 0.063 0.311 0.151  0.00
H: 0.618 0.807 0.287  0.00
H: 0.708 0.759 0.598  0.00
H: 0.790 0.044 0.284  0.00
H: 0.792 0.241 0.098  0.00
H: 0.118 0.807 0.213  0.00
H: 0.710 0.956 0.784  0.00
H: 0.882 0.193 0.787  0.00
H: 0.382 0.193 0.713  0.00
H: 0.290 0.044 0.216  0.00
H: 0.437 0.689 0.651  0.00
H: 0.210 0.956 0.716  0.00
H: 0.563 0.311 0.349  0.00
F: 0.797 0.310 0.598  0.00
F: 0.582 0.307 0.081  0.00
F: 0.195 0.520 0.638  0.00
F: 0.082 0.307 0.419  0.00
F: 0.805 0.480 0.362  0.00
F: 0.918 0.693 0.581  0.00
F: 0.703 0.690 0.098  0.00
F: 0.305 0.480 0.138  0.00
F: 0.203 0.690 0.402  0.00
F: 0.418 0.693 0.919  0.00
F: 0.695 0.520 0.862  0.00
F: 0.297 0.310 0.902  0.00
O: 0.416 0.185 0.364  0.06
O: 0.916 0.185 0.136  0.06
O: 0.808 0.071 0.851  0.06
O: 0.192 0.929 0.149  0.06
O: 0.584 0.815 0.636  0.06
O: 0.308 0.071 0.649  0.06
O: 0.084 0.815 0.864  0.06
O: 0.692 0.929 0.351  0.06
Si: 0.000 0.500 0.500  0.00
Si: 0.500 0.500 0.000  0.00
Cu: 0.500 0.000 0.500  0.78
Cu: 0.000 0.000 0.000  0.78

Its calculated density is 2.61 g/cm³. As for the total energy: -269.0 eV per cell. As for the space group: P2_1/c. The density of states at the Fermi level comes out at 0.0 states/eV per cell. The total moment comes out at 2.07 μB per cell.



Compound: BaTi2Bi
Source: the Alexandria database
Functional: meta-GGA SCAN
Structure: PBEsol geometry

Unit cell a=4.892 b=4.892 c=10.857 alpha=103.02 beta=103.02 gamma=90.00
Fractional positions:
Ti: 0.125 0.875 0.250
Ti: 0.125 0.875 0.750
Ti: 0.125 0.375 0.250
Ti: 0.625 0.875 0.750
Bi: 0.000 0.000 0.000
Bi: 0.250 0.750 0.500
Ba: 0.750 0.250 0.500
Ba: 0.500 0.500 0.000

The formation energy from the elements comes out at 113 kJ/mol of formula units. Its calculated density is 5.96 g/cm³. As for the space group: I4_1/amd. The density of states at the Fermi level comes out at 8.8 states/eV per cell. The total moment comes out at 0.00 μB per cell.



Compound: ScTlMo2O8
Source: the Alexandria database
Functional: meta-GGA SCAN
Structure: PBEsol geometry

Unit cell a=5.821 b=8.950 c=14.955 alpha=90.00 beta=90.00 gamma=90.00
Fractional positions:
Sc: 0.250 0.307 0.615
Sc: 0.750 0.693 0.385
Sc: 0.250 0.193 0.115
Sc: 0.750 0.807 0.885
O: 0.506 0.611 0.294
O: 0.750 0.627 0.637
O: 0.750 0.197 0.363
O: 0.994 0.889 0.794
O: 0.003 0.733 0.974
O: 0.497 0.767 0.474
O: 0.506 0.889 0.794
O: 0.250 0.127 0.863
O: 0.994 0.611 0.294
O: 0.503 0.233 0.526
O: 0.250 0.985 0.054
O: 0.006 0.389 0.706
O: 0.503 0.267 0.026
O: 0.250 0.101 0.678
O: 0.250 0.373 0.363
O: 0.997 0.267 0.026
O: 0.003 0.767 0.474
O: 0.497 0.733 0.974
O: 0.006 0.111 0.206
O: 0.494 0.389 0.706
O: 0.750 0.015 0.946
O: 0.750 0.899 0.322
O: 0.997 0.233 0.526
O: 0.750 0.873 0.137
O: 0.250 0.697 0.137
O: 0.250 0.399 0.178
O: 0.750 0.601 0.822
O: 0.250 0.803 0.637
O: 0.250 0.515 0.554
O: 0.494 0.111 0.206
O: 0.750 0.485 0.446
O: 0.750 0.303 0.863
Mo: 0.250 0.504 0.279
Mo: 0.250 0.996 0.779
Mo: 0.250 0.709 0.536
Mo: 0.750 0.291 0.464
Mo: 0.750 0.004 0.221
Mo: 0.750 0.496 0.721
Mo: 0.250 0.791 0.036
Mo: 0.750 0.209 0.964
Tl: 0.250 0.083 0.375
Tl: 0.750 0.917 0.625
Tl: 0.750 0.583 0.125
Tl: 0.250 0.417 0.875

Its calculated density is 4.85 g/cm³. The calculation puts the raw formation energy at -2.408 eV per atom. The excess energy over the best structure of this formula in the dataset comes out at 0.000 eV per atom. As for the space group: Pnma. The density of states at the Fermi level comes out at 0.0 states/eV per cell. The total moment comes out at 0.00 μB per cell.



Compound: BRhBrCl2
Source: the Alexandria database
Functional: meta-GGA SCAN
Structure: PBEsol geometry

Unit cell a=4.022 b=4.022 c=5.403 alpha=90.00 beta=90.00 gamma=90.00
Site moments in Bohr magnetons follow the coordinates.
Fractional positions:
Cl: 0.500 0.000 0.000  0.01
Cl: 0.000 0.500 0.000  0.01
Br: 0.000 0.000 0.500  0.09
Rh: 0.500 0.500 0.500  1.72
B: 0.000 0.000 0.000  0.00

Its calculated density is 5.03 g/cm³. The calculation puts the raw formation energy at 0.624 eV per atom. As for the space group: P4/mmm. The density of states at the Fermi level comes out at 0.8 states/eV per cell. The total moment comes out at 1.95 μB per cell.



Compound: Fe2AgH
Source: the Alexandria database
Functional: meta-GGA SCAN
Structure: PBEsol geometry

Unit cell a=4.059 b=4.059 c=4.059 alpha=60.00 beta=60.00 gamma=60.00
Site moments in Bohr magnetons follow the coordinates.
Fractional positions:
H: 0.000 0.000 0.000  -0.04
Fe: 0.750 0.750 0.750  2.99
Fe: 0.250 0.250 0.250  2.99
Ag: 0.500 0.500 0.500  -0.05

Its calculated density is 7.75 g/cm³. As for the total energy: -67.4 eV per cell. As for the space group: Fm-3m. The density of states at the Fermi level comes out at 2.7 states/eV per cell. The total moment comes out at 5.73 μB per cell.



Compound: ZrScSb2
Source: the Alexandria database
Functional: meta-GGA SCAN
Structure: PBEsol geometry

Unit cell a=4.093 b=4.093 c=5.776 alpha=90.00 beta=90.00 gamma=90.00
Fractional positions:
Sc: 0.000 0.000 0.376
Sb: 0.500 0.500 0.374
Sb: 0.000 0.000 0.876
Zr: 0.500 0.500 0.874

Its calculated density is 6.52 g/cm³. The calculation puts the raw formation energy at -0.839 eV per atom. The excess energy over the best structure of this formula in the dataset comes out at 0.004 eV per atom. As for the space group: P4mm. The density of states at the Fermi level comes out at 1.5 states/eV per cell. The total moment comes out at 0.00 μB per cell.



Compound: Tl2VF6
Source: the Alexandria database
Functional: meta-GGA SCAN
Structure: PBEsol geometry

Unit cell a=5.970 b=5.970 c=5.970 alpha=60.00 beta=60.00 gamma=60.00
Site moments in Bohr magnetons follow the coordinates.
Fractional positions:
V: 0.000 0.000 0.000  1.02
F: 0.781 0.219 0.219  -0.01
F: 0.219 0.781 0.219  -0.01
F: 0.781 0.781 0.219  -0.01
F: 0.219 0.219 0.781  -0.01
F: 0.219 0.781 0.781  -0.01
F: 0.781 0.219 0.781  -0.01
Tl: 0.750 0.750 0.750  0.00
Tl: 0.250 0.250 0.250  0.00

Its calculated density is 6.33 g/cm³. The calculation puts the raw formation energy at -2.574 eV per atom. As for the space group: Fm-3m. The density of states at the Fermi level comes out at 7.7 states/eV per cell. The total moment comes out at 1.00 μB per cell.



> What is the total moment in the third record?

1.10 μB per cell



> Among the records above, which one has the highest density of states at the Fermi level?

Cs3NiB